(1)
{
  "formula": "PmZn4Co",
  "functional": "PBE-GGA",
  "state": "relaxed",
  "de_polymorph_mev_per_atom": 87,
  "dos_ef_per_ev_cell": 0.03,
  "formation_enthalpy_0k_ev_per_atom": -0.14,
  "sg": "F-43m, No. 216",
  "magmom_total_mub_per_atom": 0.0000,
  "cell": [[0.000, 3.660, 3.660], [3.660, 0.000, 3.660], [3.660, 3.660, 0.000]],
  "species": ["Pm", "Zn", "Zn", "Zn", "Zn", "Co"],
  "frac_coords": [[0.000, 0.000, 0.000], [0.130, 0.623, 0.623], [0.623, 0.130, 0.623], [0.623, 0.623, 0.130], [0.623, 0.623, 0.623], [0.250, 0.250, 0.250]]
}

---

(2)
{
  "formula": "PmZn6Co6",
  "functional": "PBE-GGA",
  "state": "relaxed",
  "dos_ef_per_ev_cell": 9.98,
  "formation_enthalpy_0k_ev_per_atom": -0.11,
  "sg": "Immm, No. 71",
  "magmom_total_mub_per_atom": 0.5733,
  "cell": [[-2.460, 4.283, 4.300], [2.460, -4.283, 4.300], [2.460, 4.283, -4.300]],
  "species": ["Pm", "Zn", "Zn", "Zn", "Zn", "Zn", "Zn", "Co", "Co", "Co", "Co", "Co", "Co"],
  "frac_coords": [[0.000, 0.000, 0.000], [0.206, 0.500, 0.706], [0.340, 0.340, 0.000], [0.351, 0.000, 0.351], [0.649, 0.000, 0.649], [0.660, 0.660, 0.000], [0.794, 0.500, 0.294], [0.000, 0.000, 0.500], [0.000, 0.500, 0.000], [0.237, 0.737, 0.500], [0.500, 0.000, 0.000], [0.500, 0.500, 0.500], [0.763, 0.263, 0.500]]
}

---

(3)
{
  "formula": "Pm4Zn3Co",
  "functional": "PBE-GGA",
  "state": "relaxed",
  "de_polymorph_mev_per_atom": 11,
  "dos_ef_per_ev_cell": 7.72,
  "formation_enthalpy_0k_ev_per_atom": -0.22,
  "sg": "Pmm2, No. 25",
  "magmom_total_mub_per_atom": 0.0001,
  "cell": [[3.830, 0.000, 0.000], [0.000, 4.553, 0.000], [0.000, 0.000, 11.045]],
  "species": ["Pm", "Pm", "Pm", "Pm", "Zn", "Zn", "Zn", "Co"],
  "frac_coords": [[0.000, 0.000, 0.000], [0.000, 0.500, 0.266], [0.500, 0.000, 0.459], [0.500, 0.500, 0.777], [0.000, 0.000, 0.691], [0.000, 0.500, 0.553], [0.500, 0.500, 0.061], [0.500, 0.000, 0.187]]
}

---

(4)
{
  "formula": "Pm4ZnCo",
  "functional": "PBE-GGA",
  "state": "relaxed",
  "de_polymorph_mev_per_atom": 167,
  "dos_ef_per_ev_cell": 7.33,
  "formation_enthalpy_0k_ev_per_atom": 0.00,
  "sg": "P2/m, No. 10",
  "magmom_total_mub_per_atom": 0.0000,
  "cell": [[5.382, 0.000, 0.000], [0.000, 4.667, 0.000], [-1.615, 0.000, 6.939]],
  "species": ["Pm", "Pm", "Pm", "Pm", "Zn", "Co"],
  "frac_coords": [[0.065, 0.000, 0.272], [0.428, 0.500, 0.726], [0.572, 0.500, 0.274], [0.935, 0.000, 0.728], [0.000, 0.500, 0.000], [0.500, 0.000, 0.500]]
}

---

(5)
{
  "formula": "Pm4ZnCo2",
  "functional": "PBE-GGA",
  "state": "relaxed",
  "dos_ef_per_ev_cell": 13.71,
  "formation_enthalpy_0k_ev_per_atom": -0.09,
  "sg": "P1, No. 1",
  "magmom_total_mub_per_atom": 0.0000,
  "cell": [[6.918, 0.000, 0.000], [-1.788, 6.726, 0.000], [-2.546, -3.351, 7.292]],
  "species": ["Pm", "Pm", "Pm", "Pm", "Pm", "Pm", "Pm", "Pm", "Zn", "Zn", "Co", "Co", "Co", "Co"],
  "frac_coords": [[0.000, 0.000, 0.000], [0.002, 0.710, 0.568], [0.315, 0.143, 0.477], [0.369, 0.570, 0.293], [0.453, 0.619, 0.862], [0.517, 0.182, 0.991], [0.768, 0.105, 0.383], [0.933, 0.434, 0.865], [0.635, 0.924, 0.665], [0.882, 0.685, 0.193], [0.126, 0.179, 0.737], [0.325, 0.875, 0.122], [0.656, 0.553, 0.626], [0.958, 0.361, 0.231]]
}

---

(6)
{
  "formula": "Pm8ZnCo2",
  "functional": "PBE-GGA",
  "state": "relaxed",
  "de_polymorph_mev_per_atom": 0,
  "dos_ef_per_ev_cell": 12.70,
  "formation_enthalpy_0k_ev_per_atom": -0.07,
  "sg": "C2/m, No. 12",
  "magmom_total_mub_per_atom": 0.0000,
  "cell": [[9.105, -2.601, 0.000], [9.105, 2.601, 0.000], [-2.367, 0.000, 6.320]],
  "species": ["Pm", "Pm", "Pm", "Pm", "Pm", "Pm", "Pm", "Pm", "Zn", "Co", "Co"],
  "frac_coords": [[0.033, 0.033, 0.286], [0.196, 0.196, 0.849], [0.318, 0.318, 0.486], [0.404, 0.404, 0.012], [0.596, 0.596, 0.988], [0.682, 0.682, 0.514], [0.804, 0.804, 0.151], [0.967, 0.967, 0.714], [0.500, 0.500, 0.500], [0.166, 0.166, 0.225], [0.834, 0.834, 0.775]]
}

---

(7)
{
  "formula": "Pm2Zn3Co",
  "functional": "PBE-GGA",
  "state": "relaxed",
  "de_polymorph_mev_per_atom": 0,
  "dos_ef_per_ev_cell": 3.91,
  "formation_enthalpy_0k_ev_per_atom": -0.26,
  "sg": "Cm, No. 8",
  "magmom_total_mub_per_atom": 0.0000,
  "cell": [[5.054, -2.153, 0.000], [5.054, 2.153, 0.000], [-4.411, 0.000, 5.507]],
  "species": ["Pm", "Pm", "Zn", "Zn", "Zn", "Co"],
  "frac_coords": [[0.000, 0.000, 0.000], [0.114, 0.114, 0.614], [0.384, 0.384, 0.233], [0.712, 0.712, 0.018], [0.741, 0.741, 0.428], [0.410, 0.410, 0.636]]
}

---

(8)
{
  "formula": "Pm6ZnCo",
  "functional": "PBE-GGA",
  "state": "relaxed",
  "dos_ef_per_ev_cell": 9.53,
  "formation_enthalpy_0k_ev_per_atom": -0.04,
  "sg": "I4/mmm, No. 139",
  "magmom_total_mub_per_atom": 0.0902,
  "cell": [[-2.540, 2.540, 8.836], [2.540, -2.540, 8.836], [2.540, 2.540, -8.836]],
  "species": ["Pm", "Pm", "Pm", "Pm", "Pm", "Pm", "Zn", "Co"],
  "frac_coords": [[0.097, 0.597, 0.500], [0.248, 0.248, 0.000], [0.403, 0.903, 0.500], [0.597, 0.097, 0.500], [0.752, 0.752, 0.000], [0.903, 0.403, 0.500], [0.000, 0.000, 0.000], [0.500, 0.500, 0.000]]
}

---

(9)
{
  "formula": "Pm12Zn6Co",
  "functional": "PBE-GGA",
  "state": "relaxed",
  "dos_ef_per_ev_cell": 25.10,
  "formation_enthalpy_0k_ev_per_atom": -0.09,
  "sg": "R-3, No. 148",
  "magmom_total_mub_per_atom": 0.0000,
  "cell": [[5.963, 3.443, 4.384], [-5.963, 3.443, 4.384], [0.000, -6.885, 4.384]],
  "species": ["Pm", "Pm", "Pm", "Pm", "Pm", "Pm", "Pm", "Pm", "Pm", "Pm", "Pm", "Pm", "Zn", "Zn", "Zn", "Zn", "Zn", "Zn", "Co"],
  "frac_coords": [[0.032, 0.916, 0.684], [0.084, 0.316, 0.968], [0.196, 0.427, 0.544], [0.316, 0.968, 0.084], [0.427, 0.544, 0.196], [0.456, 0.804, 0.573], [0.544, 0.196, 0.427], [0.573, 0.456, 0.804], [0.684, 0.032, 0.916], [0.804, 0.573, 0.456], [0.916, 0.684, 0.032], [0.968, 0.084, 0.316], [0.147, 0.740, 0.346], [0.260, 0.654, 0.853], [0.346, 0.147, 0.740], [0.654, 0.853, 0.260], [0.740, 0.346, 0.147], [0.853, 0.260, 0.654], [0.000, 0.000, 0.000]]
}

---

(10)
{
  "formula": "Pm8Zn2Co",
  "functional": "PBE-GGA",
  "state": "relaxed",
  "dos_ef_per_ev_cell": 10.52,
  "formation_enthalpy_0k_ev_per_atom": -0.09,
  "sg": "C2/m, No. 12",
  "magmom_total_mub_per_atom": 0.0000,
  "cell": [[8.898, -2.598, 0.000], [8.898, 2.598, 0.000], [-1.336, 0.000, 6.676]],
  "species": ["Pm", "Pm", "Pm", "Pm", "Pm", "Pm", "Pm", "Pm", "Zn", "Zn", "Co"],
  "frac_coords": [[0.026, 0.026, 0.282], [0.202, 0.202, 0.815], [0.347, 0.347, 0.541], [0.411, 0.411, 0.064], [0.589, 0.589, 0.936], [0.653, 0.653, 0.459], [0.798, 0.798, 0.185], [0.974, 0.974, 0.718], [0.194, 0.194, 0.244], [0.806, 0.806, 0.756], [0.500, 0.500, 0.500]]
}

---

(11)
{
  "formula": "PmZn5Co2",
  "functional": "PBE-GGA",
  "state": "relaxed",
  "dos_ef_per_ev_cell": 4.52,
  "formation_enthalpy_0k_ev_per_atom": -0.13,
  "sg": "Immm, No. 71",
  "magmom_total_mub_per_atom": 0.0001,
  "cell": [[-1.959, 3.629, 4.570], [1.959, -3.629, 4.570], [1.959, 3.629, -4.570]],
  "species": ["Pm", "Zn", "Zn", "Zn", "Zn", "Zn", "Co", "Co"],
  "frac_coords": [[0.000, 0.000, 0.000], [0.157, 0.340, 0.818], [0.478, 0.660, 0.818], [0.500, 0.000, 0.500], [0.522, 0.340, 0.182], [0.843, 0.660, 0.182], [0.240, 0.740, 0.500], [0.760, 0.260, 0.500]]
}

---

(12)
{
  "formula": "PmZn4Co",
  "functional": "PBE-GGA",
  "state": "relaxed",
  "de_polymorph_mev_per_atom": 0,
  "dos_ef_per_ev_cell": 10.07,
  "formation_enthalpy_0k_ev_per_atom": -0.22,
  "sg": "Pmma, No. 51",
  "magmom_total_mub_per_atom": 0.0001,
  "cell": [[7.529, 0.000, 0.000], [0.000, 4.034, 0.000], [0.000, 0.000, 6.799]],
  "species": ["Pm", "Pm", "Zn", "Zn", "Zn", "Zn", "Zn", "Zn", "Zn", "Zn", "Co", "Co"],
  "frac_coords": [[0.250, 0.000, 0.107], [0.750, 0.000, 0.893], [0.000, 0.000, 0.500], [0.062, 0.500, 0.800], [0.250, 0.500, 0.461], [0.438, 0.500, 0.800], [0.500, 0.000, 0.500], [0.562, 0.500, 0.200], [0.750, 0.500, 0.539], [0.938, 0.500, 0.200], [0.250, 0.000, 0.712], [0.750, 0.000, 0.288]]
}

---

(13)
{
  "formula": "PmZn7Co5",
  "functional": "PBE-GGA",
  "state": "relaxed",
  "dos_ef_per_ev_cell": 9.93,
  "formation_enthalpy_0k_ev_per_atom": -0.14,
  "sg": "Imm2, No. 44",
  "magmom_total_mub_per_atom": 0.4068,
  "cell": [[-2.472, 4.307, 4.331], [2.472, -4.307, 4.331], [2.472, 4.307, -4.331]],
  "species": ["Pm", "Zn", "Zn", "Zn", "Zn", "Zn", "Zn", "Zn", "Co", "Co", "Co", "Co", "Co"],
  "frac_coords": [[0.000, 0.000, 0.000], [0.231, 0.513, 0.718], [0.241, 0.741, 0.500], [0.347, 0.347, 0.000], [0.367, 0.020, 0.347], [0.664, 0.664, 0.000], [0.673, 0.020, 0.653], [0.795, 0.513, 0.282], [0.011, 0.013, 0.492], [0.011, 0.520, 0.998], [0.522, 0.013, 0.002], [0.522, 0.520, 0.508], [0.779, 0.279, 0.500]]
}

---

(14)
{
  "formula": "PmZnCo2",
  "functional": "PBE-GGA",
  "state": "relaxed",
  "dos_ef_per_ev_cell": 5.37,
  "formation_enthalpy_0k_ev_per_atom": -0.10,
  "sg": "R-3m, No. 166",
  "magmom_total_mub_per_atom": 0.4493,
  "cell": [[2.091, 1.207, 4.774], [-2.091, 1.207, 4.774], [0.000, -2.414, 4.774]],
  "species": ["Pm", "Zn", "Co", "Co"],
  "frac_coords": [[0.000, 0.000, 0.000], [0.500, 0.500, 0.500], [0.187, 0.187, 0.187], [0.813, 0.813, 0.813]]
}

---

(15)
{
  "formula": "Pm2Zn5Co4",
  "functional": "PBE-GGA",
  "state": "relaxed",
  "dos_ef_per_ev_cell": 9.26,
  "formation_enthalpy_0k_ev_per_atom": -0.09,
  "sg": "C2/m, No. 12",
  "magmom_total_mub_per_atom": 0.3177,
  "cell": [[5.973, -2.622, 0.000], [5.973, 2.622, 0.000], [-4.675, 0.000, 6.099]],
  "species": ["Pm", "Pm", "Zn", "Zn", "Zn", "Zn", "Zn", "Co", "Co", "Co", "Co"],
  "frac_coords": [[0.235, 0.235, 0.300], [0.765, 0.765, 0.700], [0.210, 0.717, 0.242], [0.283, 0.790, 0.758], [0.500, 0.500, 0.000], [0.717, 0.210, 0.242], [0.790, 0.283, 0.758], [0.121, 0.121, 0.577], [0.267, 0.267, 0.943], [0.733, 0.733, 0.057], [0.879, 0.879, 0.423]]
}

---

(16)
{
  "formula": "Pm6Zn5Co",
  "functional": "PBE-GGA",
  "state": "relaxed",
  "dos_ef_per_ev_cell": 9.70,
  "formation_enthalpy_0k_ev_per_atom": -0.27,
  "sg": "Immm, No. 71",
  "magmom_total_mub_per_atom": 0.0022,
  "cell": [[-2.563, 3.629, 7.654], [2.563, -3.629, 7.654], [2.563, 3.629, -7.654]],
  "species": ["Pm", "Pm", "Pm", "Pm", "Pm", "Pm", "Zn", "Zn", "Zn", "Zn", "Zn", "Co"],
  "frac_coords": [[0.082, 0.341, 0.741], [0.236, 0.000, 0.236], [0.400, 0.659, 0.741], [0.600, 0.341, 0.259], [0.764, 0.000, 0.764], [0.918, 0.659, 0.259], [0.179, 0.179, 0.000], [0.331, 0.831, 0.500], [0.500, 0.500, 0.000], [0.669, 0.169, 0.500], [0.821, 0.821, 0.000], [0.000, 0.500, 0.500]]
}

---

(17)
{
  "formula": "PmZnCo2",
  "functional": "PBE-GGA",
  "state": "relaxed",
  "dos_ef_per_ev_cell": 8.90,
  "formation_enthalpy_0k_ev_per_atom": -0.20,
  "sg": "Pmma, No. 51",
  "magmom_total_mub_per_atom": 0.5833,
  "cell": [[4.955, 0.000, 0.000], [0.000, 3.972, 0.000], [0.000, 0.000, 6.968]],
  "species": ["Pm", "Pm", "Zn", "Zn", "Co", "Co", "Co", "Co"],
  "frac_coords": [[0.250, 0.000, 0.190], [0.750, 0.000, 0.810], [0.250, 0.500, 0.826], [0.750, 0.500, 0.174], [0.000, 0.500, 0.500], [0.250, 0.000, 0.584], [0.500, 0.500, 0.500], [0.750, 0.000, 0.416]]
}

---

(18)
{
  "formula": "Pm2Zn12Co5",
  "functional": "PBE-GGA",
  "state": "relaxed",
  "dos_ef_per_ev_cell": 15.62,
  "formation_enthalpy_0k_ev_per_atom": -0.18,
  "sg": "R-3m, No. 166",
  "magmom_total_mub_per_atom": 0.2875,
  "cell": [[4.420, 2.552, 4.253], [-4.420, 2.552, 4.253], [0.000, -5.103, 4.253]],
  "species": ["Pm", "Pm", "Zn", "Zn", "Zn", "Zn", "Zn", "Zn", "Zn", "Zn", "Zn", "Zn", "Zn", "Zn", "Co", "Co", "Co", "Co", "Co"],
  "frac_coords": [[0.167, 0.167, 0.167], [0.833, 0.833, 0.833], [0.156, 0.156, 0.640], [0.156, 0.640, 0.156], [0.214, 0.500, 0.786], [0.214, 0.786, 0.500], [0.360, 0.844, 0.844], [0.500, 0.214, 0.786], [0.500, 0.786, 0.214], [0.640, 0.156, 0.156], [0.786, 0.214, 0.500], [0.786, 0.500, 0.214], [0.844, 0.360, 0.844], [0.844, 0.844, 0.360], [0.000, 0.500, 0.500], [0.404, 0.404, 0.404], [0.500, 0.000, 0.500], [0.500, 0.500, 0.000], [0.596, 0.596, 0.596]]
}

---

(19)
{
  "formula": "Pm2Zn3Co2",
  "functional": "PBE-GGA",
  "state": "relaxed",
  "dos_ef_per_ev_cell": 6.17,
  "formation_enthalpy_0k_ev_per_atom": -0.19,
  "sg": "C2/m, No. 12",
  "magmom_total_mub_per_atom": 0.1414,
  "cell": [[4.889, -2.158, 0.000], [4.889, 2.158, 0.000], [-1.744, 0.000, 6.122]],
  "species": ["Pm", "Pm", "Zn", "Zn", "Zn", "Co", "Co"],
  "frac_coords": [[0.121, 0.121, 0.345], [0.879, 0.879, 0.655], [0.205, 0.205, 0.876], [0.500, 0.500, 0.000], [0.795, 0.795, 0.124], [0.420, 0.420, 0.333], [0.580, 0.580, 0.667]]
}

---

(20)
{
  "formula": "Pm2Zn3Co",
  "functional": "PBE-GGA",
  "state": "relaxed",
  "de_polymorph_mev_per_atom": 264,
  "dos_ef_per_ev_cell": 3.93,
  "formation_enthalpy_0k_ev_per_atom": 0.00,
  "sg": "Immm, No. 71",
  "magmom_total_mub_per_atom": 0.0690,
  "cell": [[-2.253, 2.619, 5.440], [2.253, -2.619, 5.440], [2.253, 2.619, -5.440]],
  "species": ["Pm", "Pm", "Zn", "Zn", "Zn", "Co"],
  "frac_coords": [[0.209, 0.209, 0.000], [0.791, 0.791, 0.000], [0.000, 0.500, 0.500], [0.393, 0.893, 0.500], [0.607, 0.107, 0.500], [0.500, 0.500, 0.000]]
}